# K3NbCr | Alexandria via LeMat-Bulk | PBE | relaxed
data_K3NbCr
_cell_length_a 6.471
_cell_length_b 6.471
_cell_length_c 6.471
_cell_angle_alpha 90.00
_cell_angle_beta 90.00
_cell_angle_gamma 90.00
_space_group_name_H-M_alt 'P m -3 m'
_space_group_IT_number 221
_space_group_name_Hall '-P 4 2 3'
loop_
_atom_site_label
_atom_site_type_symbol
_atom_site_fract_x
_atom_site_fract_y
_atom_site_fract_z
_atom_site_occupancy
K1 K 0.000 0.000 0.500 1
Nb1 Nb 0.500 0.500 0.500 1
Cr1 Cr 0.000 0.000 0.000 1
# - Energy relative to the lowest polymorph listed for this composition: 0 meV/atom
# - E_form: 1.650 eV per atom
# - Crystal system: cubic
# - Density: 1.607 g/cm³



# SmInCo | Alexandria via LeMat-Bulk | PBE | relaxed
data_SmInCo
_cell_length_a 6.526
_cell_length_b 8.234
_cell_length_c 5.127
_cell_angle_alpha 90.00
_cell_angle_beta 96.29
_cell_angle_gamma 90.00
_space_group_name_H-M_alt 'P 1 21/c 1'
_space_group_IT_number 14
loop_
_space_group_symop_operation_xyz
'x,y,z'
'-x,-y,-z'
'-x,y+1/2,-z+1/2'
'x,-y+1/2,z+1/2'
loop_
_atom_site_label
_atom_site_type_symbol
_atom_site_fract_x
_atom_site_fract_y
_atom_site_fract_z
_atom_site_occupancy
Sm1 Sm 0.227 0.079 0.285 1
In1 In 0.278 0.659 0.284 1
Co1 Co 0.425 0.139 0.816 1
# - E_form: -0.084 eV per atom
# - Crystal system: monoclinic
# - Density: 7.861 g/cm³



# Tb6TeC4 | Alexandria via LeMat-Bulk | PBE | relaxed
data_Tb6TeC4
_cell_length_a 3.744
_cell_length_b 12.309
_cell_length_c 19.229
_cell_angle_alpha 90.00
_cell_angle_beta 90.00
_cell_angle_gamma 90.00
_space_group_name_H-M_alt 'C m c m'
_space_group_IT_number 63
_space_group_name_Hall '-C 2c 2'
loop_
_atom_site_label
_atom_site_type_symbol
_atom_site_fract_x
_atom_site_fract_y
_atom_site_fract_z
_atom_site_occupancy
Tb1 Tb 0.000 0.000 0.000 1
Tb2 Tb 0.000 0.145 0.250 1
Tb3 Tb 0.000 0.277 0.576 1
Tb4 Tb 0.000 0.464 0.146 1
Te1 Te 0.000 0.162 0.750 1
C1 C 0.000 0.090 0.127 1
C2 C 0.000 0.363 0.042 1
# - Crystal system: orthorhombic
# - E_tot: -6.604 eV per atom
# - Density: 8.463 g/cm³



# Zr2OsBr | Alexandria via LeMat-Bulk | PBE | relaxed
data_Zr2OsBr
_cell_length_a 6.770
_cell_length_b 6.770
_cell_length_c 6.770
_cell_angle_alpha 90.00
_cell_angle_beta 90.00
_cell_angle_gamma 90.00
_space_group_name_H-M_alt 'F m -3 m'
_space_group_IT_number 225
_space_group_name_Hall '-F 4 2 3'
loop_
_atom_site_label
_atom_site_type_symbol
_atom_site_fract_x
_atom_site_fract_y
_atom_site_fract_z
_atom_site_occupancy
Zr1 Zr 0.250 0.250 0.250 1
Os1 Os 0.000 0.000 0.000 1
Br1 Br 0.000 0.000 0.500 1
# - Energy relative to the lowest polymorph listed for this composition: 541 meV/atom
# - Crystal system: cubic
# - Density: 9.687 g/cm³



# DyBOs | Alexandria via LeMat-Bulk | PBE | relaxed
data_DyBOs
_cell_length_a 3.6640
_cell_length_b 3.6640
_cell_length_c 4.2751
_cell_angle_alpha 90.00
_cell_angle_beta 90.00
_cell_angle_gamma 120.00
_space_group_name_H-M_alt 'P -6 m 2'
_space_group_IT_number 187
_space_group_name_Hall 'P -6 2'
loop_
_atom_site_label
_atom_site_type_symbol
_atom_site_fract_x
_atom_site_fract_y
_atom_site_fract_z
_atom_site_occupancy
Dy1 Dy 0.0000 0.0000 0.0000 1
B1 B 0.3333 0.6667 0.5000 1
Os1 Os 0.6667 0.3333 0.5000 1
# - Energy relative to the lowest polymorph listed for this composition: 0 meV/atom
# - E_form: -0.382 eV per atom
# - Crystal system: hexagonal
# - Density: 12.146 g/cm³



# CeTmPdRh | Alexandria via LeMat-Bulk | PBE | relaxed
data_CeTmPdRh
_cell_length_a 6.973
_cell_length_b 6.973
_cell_length_c 6.973
_cell_angle_alpha 90.00
_cell_angle_beta 90.00
_cell_angle_gamma 90.00
_space_group_name_H-M_alt 'F -4 3 m'
_space_group_IT_number 216
_space_group_name_Hall 'F -4 2 3'
loop_
_atom_site_label
_atom_site_type_symbol
_atom_site_fract_x
_atom_site_fract_y
_atom_site_fract_z
_atom_site_occupancy
Ce1 Ce 0.000 0.000 0.000 1
Tm1 Tm 0.000 0.000 0.500 1
Pd1 Pd 0.250 0.250 0.250 1
Rh1 Rh 0.250 0.250 0.750 1
# - E_form: -0.762 eV per atom
# - Crystal system: cubic
# - Density: 10.155 g/cm³



# Li4AcSi | Alexandria via LeMat-Bulk | PBE | relaxed
data_Li4AcSi
_cell_length_a 7.872
_cell_length_b 7.872
_cell_length_c 7.872
_cell_angle_alpha 90.00
_cell_angle_beta 90.00
_cell_angle_gamma 90.00
_space_group_name_H-M_alt 'F -4 3 m'
_space_group_IT_number 216
_space_group_name_Hall 'F -4 2 3'
loop_
_atom_site_label
_atom_site_type_symbol
_atom_site_fract_x
_atom_site_fract_y
_atom_site_fract_z
_atom_site_occupancy
Li1 Li 0.123 0.123 0.377 1
Ac1 Ac 0.000 0.000 0.000 1
Si1 Si 0.250 0.250 0.750 1
# - Crystal system: cubic
# - E_tot: -2.832 eV per atom
# - Density: 3.852 g/cm³



# TmBe4Cu8 | Alexandria via LeMat-Bulk | PBE | relaxed
data_TmBe4Cu8
_cell_length_a 8.162
_cell_length_b 8.162
_cell_length_c 4.584
_cell_angle_alpha 90.00
_cell_angle_beta 90.00
_cell_angle_gamma 90.00
_space_group_name_H-M_alt 'I 4/m m m'
_space_group_IT_number 139
_space_group_name_Hall '-I 4 2'
loop_
_atom_site_label
_atom_site_type_symbol
_atom_site_fract_x
_atom_site_fract_y
_atom_site_fract_z
_atom_site_occupancy
Tm1 Tm 0.000 0.000 0.000 1
Be1 Be 0.250 0.250 0.250 1
Cu1 Cu 0.000 0.222 0.500 1
Cu2 Cu 0.000 0.349 0.000 1
# - E_form: -0.160 eV per atom
# - Crystal system: tetragonal
# - Density: 7.757 g/cm³